VASP calculation (PBE) on a relaxed structure of MgCrPt2.

Results
VASP energy	-24.647	eV for the cell shown
SG	Pmm2 (25)
Fermi-level density of states	0.907	states/eV/atom
energy of formation	-337	meV per atom

Cell: 2.854 4.039 5.475 Å, 90.00 90.00 90.00°
Atoms (fractional coordinates):
Pt: 0.000 0.000 0.971
Pt: 0.500 0.500 0.286
Cr: 0.000 0.000 0.467
Mg: 0.500 0.500 0.776



VASP calculation (PBE) on a relaxed structure of MgCrPt.

Results
VASP energy	-35.568	eV for the cell shown
SG	Cm (8)
Fermi-level density of states	0.694	states/eV/atom
energy of formation	-175	meV per atom

Cell: 4.730 6.982 2.859 Å, 78.19 90.03 83.31°
Atoms (fractional coordinates):
Cr: 0.509 0.552 0.747
Cr: 0.235 0.786 0.631
Pt: 0.610 0.217 0.415
Pt: 0.993 0.525 0.261
Mg: 0.700 0.884 0.081
Mg: 0.127 0.175 0.935



VASP calculation (PBE) on a relaxed structure of MgCrPt.

Results
VASP energy	-35.666	eV for the cell shown
SG	P2_1/m (11)
Fermi-level density of states	0.704	states/eV/atom
energy of formation	-191	meV per atom

Cell: 4.552 7.387 2.919 Å, 90.01 90.00 107.40°
Atoms (fractional coordinates):
Mg: 0.973 0.379 0.503
Mg: 0.577 0.001 0.004
Pt: 0.086 0.021 0.504
Pt: 0.465 0.359 0.004
Cr: 0.590 0.661 0.504
Cr: 0.960 0.719 0.004



VASP calculation (PBE) on a relaxed structure of Mg3CrPt.

Results
VASP energy	-19.706	eV for the cell shown
excess energy over the best structure of this formula in the dataset	0.000	eV per atom
SG	Pm-3m (221)
Fermi-level density of states	0.452	states/eV/atom
energy of formation	148	meV per atom

Cell: 4.976 4.976 4.976 Å, 90.00 90.00 90.00°
Atoms (fractional coordinates):
Mg: 0.500 0.000 0.000
Mg: 0.000 0.500 0.000
Mg: 0.000 0.000 0.500
Cr: 0.500 0.500 0.500
Pt: 0.000 0.000 0.000



VASP calculation (PBE) on a relaxed structure of MgCrPt2.

Results
VASP energy	-24.347	eV for the cell shown
SG	C2/m (12)
Fermi-level density of states	0.872	states/eV/atom
energy of formation	-262	meV per atom

Cell: 4.621 4.621 5.037 Å, 79.26 79.26 36.61°
Atoms (fractional coordinates):
Pt: 0.496 0.496 0.507
Pt: 0.004 0.004 0.993
Mg: 0.250 0.250 0.250
Cr: 0.750 0.750 0.750



VASP calculation (PBE) on a relaxed structure of MgCrPt2.

Results
VASP energy	-24.868	eV for the cell shown
SG	I-4m2 (119)
Fermi-level density of states	1.072	states/eV/atom
energy of formation	-392	meV per atom

Cell: 4.973 4.973 4.973 Å, 134.35 134.30 66.57°
Atoms (fractional coordinates):
Mg: 0.250 0.750 0.500
Cr: 0.500 0.500 0.000
Pt: 0.000 0.000 0.000
Pt: 0.750 0.250 0.500



VASP calculation (PBE) on a relaxed structure of MgCrPt.

Results
VASP energy	-35.129	eV for the cell shown
SG	P4/nmm (129)
Fermi-level density of states	0.825	states/eV/atom
energy of formation	-102	meV per atom

Cell: 3.495 3.495 7.844 Å, 90.00 90.00 90.00°
Atoms (fractional coordinates):
Pt: 0.500 0.000 0.749
Pt: 0.000 0.500 0.251
Cr: 0.000 0.000 0.500
Cr: 0.500 0.500 0.500
Mg: 0.500 0.000 0.121
Mg: 0.000 0.500 0.879



VASP calculation (PBE) on a relaxed structure of MgCr2Pt2.

Results
VASP energy	-67.468	eV for the cell shown
excess energy over the best structure of this formula in the dataset	0.000	eV per atom
SG	P4/mbm (127)
Fermi-level density of states	0.638	states/eV/atom
energy of formation	-162	meV per atom

Cell: 7.438 7.438 2.756 Å, 90.00 90.00 90.00°
Atoms (fractional coordinates):
Pt: 0.197 0.697 0.500
Pt: 0.303 0.197 0.500
Pt: 0.697 0.803 0.500
Pt: 0.803 0.303 0.500
Mg: 0.500 0.500 0.000
Mg: 0.000 0.000 0.000
Cr: 0.907 0.593 0.000
Cr: 0.593 0.093 0.000
Cr: 0.093 0.407 0.000
Cr: 0.407 0.907 0.000



VASP calculation (PBE) on a relaxed structure of MgCrPt2.

Results
VASP energy	-24.381	eV for the cell shown
SG	P2/m (10)
Fermi-level density of states	0.836	states/eV/atom
energy of formation	-270	meV per atom

Cell: 2.890 4.997 5.508 Å, 51.96 90.00 90.00°
Atoms (fractional coordinates):
Pt: 0.500 0.500 0.000
Pt: 0.000 0.000 0.000
Mg: 0.000 0.000 0.500
Cr: 0.500 0.500 0.500



VASP calculation (PBE) on a relaxed structure of Mg2CrPt.

Results
VASP energy	-19.414	eV for the cell shown
SG	Pm (6)
Fermi-level density of states	0.657	states/eV/atom
energy of formation	-140	meV per atom

Cell: 4.604 3.066 5.699 Å, 57.53 90.00 90.00°
Atoms (fractional coordinates):
Pt: 0.000 0.804 0.447
Mg: 0.500 0.435 0.315
Mg: 0.000 0.813 0.937
Cr: 0.500 0.449 0.801



VASP calculation (PBE) on a relaxed structure of Mg2CrPt.

Results
VASP energy	-34.093	eV for the cell shown
SG	I-42d (122)
Fermi-level density of states	1.355	states/eV/atom
energy of formation	452	meV per atom

Cell: 7.259 7.259 5.776 Å, 51.07 51.07 90.00°
Atoms (fractional coordinates):
Mg: 0.641 0.125 0.250
Mg: 0.875 0.891 0.750
Mg: 0.109 0.625 0.250
Mg: 0.375 0.359 0.750
Cr: 0.250 0.750 0.500
Cr: 0.500 0.500 0.000
Pt: 0.000 0.000 0.000
Pt: 0.750 0.250 0.500



VASP calculation (PBE) on a relaxed structure of MgCrPt2.

Results
VASP energy	-23.864	eV for the cell shown
SG	P4mm (99)
Fermi-level density of states	0.724	states/eV/atom
energy of formation	-141	meV per atom

Cell: 2.785 2.785 7.900 Å, 90.00 90.00 89.99°
Atoms (fractional coordinates):
Pt: 0.000 0.000 0.996
Pt: 0.500 0.500 0.268
Cr: 0.000 0.000 0.481
Mg: 0.500 0.500 0.755